# VRe

A geometry-optimized VRe structure (PBE, Alexandria).

Cell and atoms, written as POSCAR:
```
VRe
1.0
-2.915 2.677 1.248
-0.382 -4.039 0.872
2.501 0.701 4.339
V Re
2 2
Direct
0.333 0.667 0.250
0.667 0.333 0.750
0.333 0.667 0.750
0.667 0.333 0.250
```

Values from the calculation:
DOS at the Fermi energy in states/eV/f.u.: 1.61
Crystal system: hexagonal
Formation energy from the elements in eV per formula unit: 2.3

***

# Sr5Zn

A geometry-optimized Sr5Zn structure (PBE, Alexandria).

Cell and atoms, written as POSCAR:
```
Sr5Zn
1.0
6.410 0.000 0.000
0.000 4.597 0.000
0.000 -2.299 9.354
Sr Zn
5 1
Direct
0.500 0.832 0.664
0.000 0.640 0.279
0.500 0.500 0.000
0.000 0.360 0.721
0.500 0.168 0.336
0.000 0.000 0.000
```

Values from the calculation:
DOS at the Fermi energy in states/eV/f.u.: 7.08
Excess energy over the best structure of this formula in the dataset in kJ/mol of atoms: 10.5
Crystal system: orthorhombic
Formation energy from the elements in eV per formula unit: 0.3

***

# Tc2IrAu

A geometry-optimized Tc2IrAu structure (PBE, Alexandria).

Cell and atoms, written as POSCAR:
```
Tc2IrAu
1.0
-2.605 1.010 3.469
-4.431 -0.147 -0.425
-2.328 -3.201 2.044
Ir Au Tc
1 1 2
Direct
0.000 0.000 0.000
0.500 0.500 0.500
0.250 0.250 0.250
0.750 0.750 0.750
```

Values from the calculation:
DOS at the Fermi energy in states/eV/f.u.: 7.51
Excess energy over the best structure of this formula in the dataset in kJ/mol of atoms: 47.1
Crystal system: cubic
Formation energy from the elements in eV per formula unit: 2.4